First-principles (PBE) data for a relaxed CaYTa2 crystal, as listed in Alexandria.

Cell: 5.0786 5.0786 6.7547 Å, 86.50 86.50 35.43°
With the nearest neighbours (Å) after each atom.
Fractional positions:
Y: 0.4898 0.4898 0.5457  5 Ta 3.07-3.20, 2 Y 3.09, 1 Ca 3.27
Ca: 0.2552 0.2552 0.2191  2 Ca 3.09, 5 Ta 3.11-3.36, 1 Y 3.27
Ta: 0.0094 0.0094 0.9439  5 Ta 2.81-3.09, 1 Ca 3.11, 2 Y 3.12
Ta: 0.7457 0.7457 0.7912  5 Ta 2.81-3.09, 1 Y 3.07

- Fermi-level density of states: 4.11 states/eV/cell
- Energy relative to the lowest polymorph listed for this composition: 241 meV per atom
- M_tot: 0.00 μB/cell